*a*
Compound: YScAs3
Source: Alexandria
Functional: GGA-PBE
Structure: relaxed

a b c (Å): 5.0331 5.0331 5.0331
angles (deg): 90.00 90.00 90.00
With the nearest neighbours (Å) after each atom.
Positions (direct):
Y: 0.5000 0.5000 0.5000  12 As 3.56
Sc: 0.0000 0.0000 0.0000  6 As 2.52
As: 0.0000 0.5000 0.0000  2 Sc 2.52
As: 0.0000 0.0000 0.5000  2 Sc 2.52
As: 0.5000 0.0000 0.0000  2 Sc 2.52

=====

*b*
Compound: YScAs3
Source: Alexandria
Functional: GGA-PBE
Structure: relaxed

a b c (Å): 5.2960 5.2960 5.2960
angles (deg): 90.00 90.00 90.00
With the nearest neighbours (Å) after each atom.
Positions (direct):
Y: 0.0000 0.0000 0.0000  6 As 2.65
Sc: 0.5000 0.5000 0.5000  12 As 3.74
As: 0.0000 0.5000 0.0000  2 Y 2.65
As: 0.0000 0.0000 0.5000  2 Y 2.65
As: 0.5000 0.0000 0.0000  2 Y 2.65

=====

Relative stability in kJ/mol of atoms, measured from the most stable structure: *a* 0.0; *b* 51.1